No. 1
# Pm4Pr3Ho (GGA-PBE, optimized geometry)
data_Pm4Pr3Ho
_chemical_formula_sum 'Pm8 Pr6 Ho2'
_cell_length_a 11.8287
_cell_length_b 7.3963
_cell_length_c 6.3936
_cell_angle_alpha 90.00
_cell_angle_beta 90.00
_cell_angle_gamma 90.00
_symmetry_space_group_name_H-M 'P m n 21'
_symmetry_Int_Tables_number 31
loop_
_symmetry_equiv_pos_as_xyz
'x,y,z'
'-x+1/2,-y,z+1/2'
'-x,y,z'
'x+1/2,-y,z+1/2'
loop_
_atom_site_label
_atom_site_fract_x
_atom_site_fract_y
_atom_site_fract_z
Pm1 0.0000 0.1239 0.0000
Pm2 0.0000 0.8759 0.4970
Pm3 0.2473 0.8749 0.8301
Pr1 0.0000 0.3738 0.4980
Pr2 0.2499 0.3749 0.8304
Ho1 0.0000 0.6258 0.9966
# Calculated total energy: -4.708 eV/atom
# Formation energy from the elements: 0.03 eV/atom
# Total magnetic moment: 0.00 μB per formula unit

---

No. 2
# PmPr3Ho2 (GGA-PBE, optimized geometry)
data_PmPr3Ho2
_chemical_formula_sum 'Pm4 Pr12 Ho8'
_cell_length_a 13.3873
_cell_length_b 3.5695
_cell_length_c 17.9132
_cell_angle_alpha 90.00
_cell_angle_beta 102.34
_cell_angle_gamma 90.00
_symmetry_space_group_name_H-M 'C 1 2/m 1'
_symmetry_Int_Tables_number 12
loop_
_symmetry_equiv_pos_as_xyz
'x,y,z'
'-x,-y,-z'
'-x,y,-z'
'x,-y,z'
'x+1/2,y+1/2,z'
'-x+1/2,-y+1/2,-z'
'-x+1/2,y+1/2,-z'
'x+1/2,-y+1/2,z'
loop_
_atom_site_label
_atom_site_fract_x
_atom_site_fract_y
_atom_site_fract_z
Pm1 0.0437 0.0000 0.1802
Pr1 0.0670 0.5000 0.6656
Pr2 0.1273 0.0000 0.4904
Pr3 0.2274 0.0000 0.8360
Ho1 0.1348 0.0000 0.0033
Ho2 0.1974 0.5000 0.3348
# Calculated total energy: -4.601 eV/atom
# Formation energy from the elements: 0.11 eV/atom
# Total magnetic moment: 0.00 μB per formula unit

---

No. 3
# Pm5Pr5Ho (GGA-PBE, optimized geometry)
data_Pm5Pr5Ho
_chemical_formula_sum 'Pm5 Pr5 Ho1'
_cell_length_a 6.2643
_cell_length_b 6.2643
_cell_length_c 11.6628
_cell_angle_alpha 90.00
_cell_angle_beta 90.00
_cell_angle_gamma 120.00
_symmetry_space_group_name_H-M 'P -6 m 2'
_symmetry_Int_Tables_number 187
_symmetry_space_group_name_Hall 'P -6 2'
loop_
_atom_site_label
_atom_site_fract_x
_atom_site_fract_y
_atom_site_fract_z
Pm1 0.0000 0.0000 0.0000
Pm2 0.3333 0.6667 0.3166
Pm3 0.6667 0.3333 0.1582
Pr1 0.0000 0.0000 0.2631
Pr2 0.3402 0.1701 0.5000
Ho1 0.3333 0.6667 0.0000
# Calculated total energy: -4.439 eV/atom
# Formation energy from the elements: 0.31 eV/atom
# Total magnetic moment: 0.00 μB per formula unit

---

No. 4
# Pm4Pr7Ho (GGA-PBE, optimized geometry)
data_Pm4Pr7Ho
_chemical_formula_sum 'Pm4 Pr7 Ho1'
_cell_length_a 6.4126
_cell_length_b 7.4088
_cell_length_c 9.1719
_cell_angle_alpha 89.98
_cell_angle_beta 76.49
_cell_angle_gamma 89.98
_symmetry_space_group_name_H-M 'P -1'
_symmetry_Int_Tables_number 2
loop_
_symmetry_equiv_pos_as_xyz
'x,y,z'
'-x,-y,-z'
loop_
_atom_site_label
_atom_site_fract_x
_atom_site_fract_y
_atom_site_fract_z
Pm1 0.2233 0.0003 0.3334
Pm2 0.2768 0.7498 0.6700
Pr1 0.0000 0.0000 0.0000
Pr2 0.2217 0.5000 0.3327
Pr3 0.2776 0.2498 0.6691
Pr4 0.5004 0.2508 0.0006
Ho1 0.0000 0.5000 0.0000
# Calculated total energy: -4.741 eV/atom
# Formation energy from the elements: 0.01 eV/atom
# Total magnetic moment: 0.00 μB per formula unit

---

No. 5
# Pm2Pr8Ho3 (GGA-PBE, optimized geometry)
data_Pm2Pr8Ho3
_chemical_formula_sum 'Pm4 Pr16 Ho6'
_cell_length_a 13.5516
_cell_length_b 11.8860
_cell_length_c 6.1871
_cell_angle_alpha 90.00
_cell_angle_beta 113.70
_cell_angle_gamma 90.00
_symmetry_space_group_name_H-M 'C 1 2/m 1'
_symmetry_Int_Tables_number 12
loop_
_symmetry_equiv_pos_as_xyz
'x,y,z'
'-x,-y,-z'
'-x,y,-z'
'x,-y,z'
'x+1/2,y+1/2,z'
'-x+1/2,-y+1/2,-z'
'-x+1/2,y+1/2,-z'
'x+1/2,-y+1/2,z'
loop_
_atom_site_label
_atom_site_fract_x
_atom_site_fract_y
_atom_site_fract_z
Pm1 0.1895 0.0000 0.3381
Pr1 0.0849 0.0000 0.7598
Pr2 0.1385 0.5000 0.1057
Pr3 0.1619 0.2613 0.6558
Ho1 0.0000 0.2339 0.0000
Ho2 0.0000 0.5000 0.5000
# Calculated total energy: -4.572 eV/atom
# Formation energy from the elements: 0.16 eV/atom
# Total magnetic moment: 0.00 μB per formula unit

---

No. 6
# Pm7PrHo2 (GGA-PBE, optimized geometry)
data_Pm7PrHo2
_chemical_formula_sum 'Pm14 Pr2 Ho4'
_cell_length_a 12.0804
_cell_length_b 17.0235
_cell_length_c 3.5108
_cell_angle_alpha 90.00
_cell_angle_beta 90.00
_cell_angle_gamma 90.00
_symmetry_space_group_name_H-M 'C m m m'
_symmetry_Int_Tables_number 65
_symmetry_space_group_name_Hall '-C 2 2'
loop_
_atom_site_label
_atom_site_fract_x
_atom_site_fract_y
_atom_site_fract_z
Pm1 0.0000 0.0000 0.0000
Pm2 0.0000 0.1760 0.5000
Pm3 0.2435 0.1322 0.0000
Pr1 0.0000 0.5000 0.5000
Ho1 0.0000 0.3305 0.0000
# Calculated total energy: -4.334 eV/atom
# Formation energy from the elements: 0.38 eV/atom
# Total magnetic moment: 0.00 μB per formula unit